[1]
The following is a DFT calculation (PBE) of an optimized crystal structure of PaGeOs.

Calculated values
As for the space group: Pmmn, No. 59. As for the formation energy from the elements: -0.5196 eV per atom.

abc: 4.373 13.828 7.595
angles: 90.00 90.00 90.00
Fractional coordinates of all 24 atoms:
Pa 0.250 0.001 0.199
Pa 0.250 0.250 0.269
Pa 0.250 0.499 0.199
Pa 0.250 0.750 0.305
Pa 0.750 0.250 0.695
Pa 0.750 0.501 0.801
Pa 0.750 0.750 0.731
Pa 0.750 0.999 0.801
Ge 0.250 0.151 0.885
Ge 0.250 0.349 0.885
Ge 0.250 0.612 0.601
Ge 0.250 0.888 0.601
Ge 0.750 0.112 0.399
Ge 0.750 0.388 0.399
Ge 0.750 0.651 0.115
Ge 0.750 0.849 0.115
Os 0.250 0.081 0.558
Os 0.250 0.419 0.558
Os 0.250 0.636 0.939
Os 0.250 0.864 0.939
Os 0.750 0.136 0.061
Os 0.750 0.364 0.061
Os 0.750 0.581 0.442
Os 0.750 0.919 0.442



[2]
The following is a DFT calculation (PBE) of an optimized crystal structure of Pa4Ge6Os7.

Calculated values
As for the space group: Im-3m, No. 229. As for the formation energy from the elements: -0.5459 eV per atom.

abc: 7.283 7.283 7.283
angles: 109.47 109.47 109.47
Fractional coordinates of all 17 atoms:
Pa 0.000 0.000 0.500
Pa 0.000 0.500 0.000
Pa 0.500 0.000 0.000
Pa 0.500 0.500 0.500
Ge 0.000 0.312 0.312
Ge 0.000 0.688 0.688
Ge 0.312 0.000 0.312
Ge 0.312 0.312 0.000
Ge 0.688 0.000 0.688
Ge 0.688 0.688 0.000
Os 0.000 0.000 0.000
Os 0.250 0.500 0.750
Os 0.250 0.750 0.500
Os 0.500 0.250 0.750
Os 0.500 0.750 0.250
Os 0.750 0.250 0.500
Os 0.750 0.500 0.250



[3]
The following is a DFT calculation (PBE) of an optimized crystal structure of Pa6GeOs3.

Calculated values
As for the space group: R-3, No. 148. As for the formation energy from the elements: -0.1537 eV per atom.

abc: 7.790 7.790 7.790
angles: 82.64 82.64 82.64
Fractional coordinates of all 20 atoms:
Pa 0.110 0.811 0.651
Pa 0.157 0.485 0.358
Pa 0.189 0.349 0.890
Pa 0.349 0.890 0.189
Pa 0.358 0.157 0.485
Pa 0.485 0.358 0.157
Pa 0.515 0.642 0.843
Pa 0.642 0.843 0.515
Pa 0.651 0.110 0.811
Pa 0.811 0.651 0.110
Pa 0.843 0.515 0.642
Pa 0.890 0.189 0.349
Ge 0.000 0.000 0.000
Ge 0.500 0.500 0.500
Os 0.006 0.179 0.672
Os 0.179 0.672 0.006
Os 0.328 0.994 0.821
Os 0.672 0.006 0.179
Os 0.821 0.328 0.994
Os 0.994 0.821 0.328



[4]
The following is a DFT calculation (PBE) of an optimized crystal structure of Pa3Ge2Os.

Calculated values
As for the space group: Immm, No. 71. As for the formation energy from the elements: -0.3574 eV per atom.

abc: 7.176 7.176 7.176
angles: 147.71 132.08 58.96
Fractional coordinates of all 6 atoms:
Pa 0.000 0.000 0.000
Pa 0.349 0.349 0.000
Pa 0.651 0.651 0.000
Ge 0.176 0.676 0.500
Ge 0.824 0.324 0.500
Os 0.500 0.000 0.500



| no. | V (Å³ per atom) |
| --- | --- |
| 1 | 19.14 |
| 2 | 17.49 |
| 3 | 23.10 |
| 4 | 24.22 |